No. 1
Below is FeNCl2 at its PBEsol-relaxed geometry, with properties calculated at the SCAN level.

The structure in POSCAR format:
```
FeNCl2
1.0
-0.434 6.662 -0.697
-5.275 -3.514 2.016
-2.201 0.518 6.321
N Cl Fe
2 4 2
Cartesian
-3.296 0.038 2.414
-1.318 3.590 2.812
-5.890 -2.059 7.029
-5.099 2.432 3.372
-1.522 1.629 0.360
-3.308 5.330 4.517
-4.614 3.628 5.225
0.000 0.000 0.000
```

Values from the calculation:
Formation energy from raw total energies in meV/atom: 476
Uncorrected energy in eV/atom: -10.368

No. 2
Below is CsTa2P5O18 at its PBEsol-relaxed geometry, with properties calculated at the SCAN level.

The structure in POSCAR format:
```
CsTa2P5O18
1.0
5.174 0.030 0.015
0.998 10.976 -0.044
0.773 1.673 14.373
O P Ta Cs
36 10 4 2
Cartesian
3.227 2.611 1.319
0.482 2.232 1.068
3.295 7.135 9.198
4.588 2.130 3.426
2.384 9.311 8.192
6.464 10.447 13.276
2.706 12.337 12.764
2.318 2.507 8.616
1.469 4.802 1.212
3.954 5.938 13.492
3.973 1.689 11.607
3.975 9.306 1.052
5.771 7.992 4.990
3.611 4.422 9.746
4.628 10.172 5.728
2.290 7.104 6.931
2.971 3.373 13.292
5.040 9.532 3.266
3.335 8.257 4.598
1.906 3.147 11.078
2.358 10.549 10.918
3.719 10.068 13.024
1.176 4.687 9.353
3.652 5.544 5.146
2.992 6.740 0.852
0.931 5.236 5.401
6.016 7.443 8.943
4.656 5.575 7.412
5.702 7.155 1.156
4.563 3.368 6.152
1.927 6.393 3.087
2.973 10.990 2.737
1.244 5.524 13.188
4.241 0.341 1.580
5.019 6.286 11.257
5.477 7.877 13.132
4.735 4.827 6.028
2.777 2.352 12.140
2.285 3.628 9.570
4.170 10.327 2.204
2.500 10.792 12.358
4.446 1.887 1.986
4.661 9.051 4.774
1.725 6.274 1.586
5.221 6.404 12.758
2.211 7.851 8.316
4.813 5.922 9.292
2.133 6.757 5.051
5.100 9.482 14.236
1.846 3.197 0.108
4.961 10.865 8.940
1.985 1.814 5.404
```

Values from the calculation:
D(E_F) in states/eV per atom: 0.00
Formation energy from raw total energies in meV/atom: -2622
Uncorrected energy in eV/atom: -15.512

No. 3
Below is IrOsCl2 at its PBEsol-relaxed geometry, with properties calculated at the SCAN level.

The structure in POSCAR format:
```
IrOsCl2
1.0
-0.649 -2.158 -1.598
-1.716 -1.920 3.291
-4.539 2.176 -1.097
Ir Os Cl
1 1 2
Cartesian
-1.182 -2.039 0.846
-3.127 0.128 1.097
0.000 0.000 0.000
-2.594 0.009 -1.347
```

Values from the calculation:
Distance to the lowest polymorph of the same formula in eV per atom: 1.0435
D(E_F) in states/eV per atom: 0.77
Formation energy from raw total energies in meV/atom: 1105
Uncorrected energy in eV/atom: -38.629

No. 4
Below is AlPtF3 at its PBEsol-relaxed geometry, with properties calculated at the SCAN level.

The structure in POSCAR format:
```
AlPtF3
1.0
4.278 0.000 0.000
0.000 4.278 0.000
0.000 0.000 4.278
Pt F Al
1 3 1
Cartesian
0.000 0.000 0.000
2.139 0.000 0.000
0.000 0.000 2.139
0.000 2.139 0.000
2.139 2.139 2.139
```

Values from the calculation:
D(E_F) in states/eV per atom: 0.35
Formation energy from raw total energies in meV/atom: -821
Uncorrected energy in eV/atom: -18.534

No. 5
Below is Ag2AuBr at its PBEsol-relaxed geometry, with properties calculated at the SCAN level.

The structure in POSCAR format:
```
Ag2AuBr
1.0
3.432 0.000 0.000
1.716 2.972 0.000
1.716 0.991 7.773
Au Ag Br
1 2 1
Cartesian
3.432 1.981 3.887
5.147 2.972 5.774
1.716 0.991 1.999
0.000 0.000 0.000
```

Values from the calculation:
Distance to the lowest polymorph of the same formula in eV per atom: 0.0000
D(E_F) in states/eV per atom: 0.20
Formation energy from raw total energies in meV/atom: 4
Uncorrected energy in eV/atom: -37.833

No. 6
Below is YBeCu2 at its PBEsol-relaxed geometry, with properties calculated at the SCAN level.

The structure in POSCAR format:
```
YBeCu2
1.0
-3.053 1.663 1.898
0.048 0.297 3.949
1.027 4.755 1.616
Cu Be Y
2 1 1
Cartesian
-0.191 2.293 1.816
-1.787 4.422 5.648
-0.989 3.358 3.732
0.000 0.000 0.000
```

Values from the calculation:
Formation energy from the elements in eV/f.u.: -0.9
D(E_F) in states/eV per atom: 0.62
Uncorrected energy in eV/atom: -15.882

No. 7
Below is MgAgRh at its PBEsol-relaxed geometry, with properties calculated at the SCAN level.

The structure in POSCAR format:
```
MgAgRh
1.0
-1.387 2.399 -0.251
-0.298 -1.632 -2.234
-4.471 -3.169 3.987
Rh Ag Mg
1 1 1
Cartesian
-3.478 -1.823 1.796
-6.144 -2.396 1.496
-2.691 -0.585 -0.288
```

Values from the calculation:
Formation energy from the elements in eV/f.u.: -0.2
Distance to the lowest polymorph of the same formula in eV per atom: 0.1115
D(E_F) in states/eV per atom: 0.49
Uncorrected energy in eV/atom: -23.430

No. 8
Below is CaMg2Rh2 at its PBEsol-relaxed geometry, with properties calculated at the SCAN level.

The structure in POSCAR format:
```
CaMg2Rh2
1.0
-0.563 2.639 -1.527
-7.422 -1.220 0.630
-0.065 3.770 6.538
Mg Rh Ca
4 4 2
Cartesian
-1.363 3.562 3.510
-5.088 3.780 5.261
-6.686 1.627 2.131
-2.961 1.409 0.380
-4.856 -0.220 1.412
-1.158 1.122 2.365
-2.630 2.770 5.756
-6.328 1.429 4.803
0.000 0.000 0.000
-3.743 1.275 3.584
```

Values from the calculation:
Formation energy from the elements in eV/f.u.: -2.3
D(E_F) in states/eV per atom: 0.29
Uncorrected energy in eV/atom: -17.888

No. 9
Below is CsMoP3 at its PBEsol-relaxed geometry, with properties calculated at the SCAN level.

The structure in POSCAR format:
```
CsMoP3
1.0
5.151 0.000 0.000
0.000 5.151 0.000
0.000 0.000 5.151
P Mo Cs
3 1 1
Cartesian
0.000 2.575 0.000
0.000 0.000 2.575
2.575 0.000 0.000
2.575 2.575 2.575
0.000 0.000 0.000
```

Values from the calculation:
Formation energy from the elements in eV/f.u.: 13.4
D(E_F) in states/eV per atom: 0.50
Uncorrected energy in eV/atom: -18.105

No. 10
Below is La3AsH at its PBEsol-relaxed geometry, with properties calculated at the SCAN level.

The structure in POSCAR format:
```
La3AsH
1.0
-2.711 -3.409 -2.078
3.217 -0.377 -3.577
2.365 -3.395 2.484
H As La
1 1 3
Cartesian
0.000 0.000 0.000
1.435 -3.590 -1.586
1.608 -0.189 -1.789
1.182 -1.697 1.242
-1.355 -1.704 -1.039
```

Values from the calculation:
D(E_F) in states/eV per atom: 0.87
Uncorrected energy in eV/atom: -31.239

No. 11
Below is Li8Al at its PBEsol-relaxed geometry, with properties calculated at the SCAN level.

The structure in POSCAR format:
```
Li8Al
1.0
4.169 0.000 0.000
2.084 6.282 0.000
2.084 0.000 6.282
Li Al
8 1
Cartesian
2.084 2.043 4.239
4.169 4.239 4.239
4.169 2.043 2.043
2.084 4.239 2.043
4.169 4.281 0.000
2.084 2.001 0.000
2.084 0.000 2.001
4.169 0.000 4.281
0.000 0.000 0.000
```

Values from the calculation:
Formation energy from the elements in eV/f.u.: -0.3
D(E_F) in states/eV per atom: 0.38
Uncorrected energy in eV/atom: -3.018

No. 12
Below is K2CaPrO4 at its PBEsol-relaxed geometry, with properties calculated at the SCAN level.

The structure in POSCAR format:
```
K2CaPrO4
1.0
-0.969 3.395 0.715
-1.720 0.727 -5.780
-5.142 -2.167 3.322
Pr O K Ca
1 4 2 1
Cartesian
-3.055 0.614 2.019
-2.876 -0.096 -3.437
-2.495 1.231 -0.153
-3.986 -1.344 0.979
-5.336 0.723 -1.590
0.000 0.000 0.000
-1.344 2.061 -2.532
-3.431 -0.720 -1.229
```

Values from the calculation:
D(E_F) in states/eV per atom: 0.45
Formation energy from raw total energies in meV/atom: -2436
Uncorrected energy in eV/atom: -14.258

No. 13
Below is TaHBr3 at its PBEsol-relaxed geometry, with properties calculated at the SCAN level.

The structure in POSCAR format:
```
TaHBr3
1.0
4.459 0.000 0.000
0.000 4.459 0.000
0.000 0.000 4.459
H Br Ta
1 3 1
Cartesian
0.000 0.000 0.000
0.000 0.000 2.229
0.000 2.229 0.000
2.229 0.000 0.000
2.229 2.229 2.229
```

Values from the calculation:
D(E_F) in states/eV per atom: 0.41
Uncorrected energy in eV/atom: -24.696

No. 14
Below is SmAu at its PBEsol-relaxed geometry, with properties calculated at the SCAN level.

The structure in POSCAR format:
```
SmAu
1.0
3.609 0.000 0.000
0.000 3.609 0.000
0.000 0.000 3.609
Sm Au
1 1
Cartesian
0.000 0.000 0.000
1.805 1.805 1.805
```

Values from the calculation:
Formation energy from the elements in eV/f.u.: -2.1
D(E_F) in states/eV per atom: 0.42
Uncorrected energy in eV/atom: -57.838

No. 15
Below is Mg2InSb at its PBEsol-relaxed geometry, with properties calculated at the SCAN level.

The structure in POSCAR format:
```
Mg2InSb
1.0
5.112 0.000 0.000
2.556 4.427 0.000
2.556 1.476 4.174
Mg In Sb
2 1 1
Cartesian
7.668 4.427 3.130
2.556 1.476 1.043
0.000 0.000 0.000
5.112 2.951 2.087
```

Values from the calculation:
Distance to the lowest polymorph of the same formula in eV per atom: 0.0649
D(E_F) in states/eV per atom: 0.52
Formation energy from raw total energies in meV/atom: -120
Uncorrected energy in eV/atom: -20.269

No. 16
Below is Li2CaMg at its PBEsol-relaxed geometry, with properties calculated at the SCAN level.

The structure in POSCAR format:
```
Li2CaMg
1.0
4.556 0.000 0.000
0.000 4.556 0.000
-2.278 -2.278 4.896
Li Mg Ca
2 1 1
Cartesian
0.000 0.000 0.000
2.278 0.000 2.448
2.278 2.278 0.000
0.000 2.278 2.448
```

Values from the calculation:
Formation energy from the elements in eV/f.u.: 0.1
D(E_F) in states/eV per atom: 0.52
Uncorrected energy in eV/atom: -4.834

No. 17
Below is YZnN2 at its PBEsol-relaxed geometry, with properties calculated at the SCAN level.

The structure in POSCAR format:
```
YZnN2
1.0
-0.907 -2.059 2.463
-1.768 -2.745 -0.686
4.250 -4.732 -0.130
N Zn Y
2 1 1
Cartesian
2.445 -3.632 0.124
-0.869 -5.903 1.523
0.788 -4.768 0.823
0.000 0.000 0.000
```

Values from the calculation:
D(E_F) in states/eV per atom: 0.45
Formation energy from raw total energies in meV/atom: 675
Uncorrected energy in eV/atom: -14.310

No. 18
Below is CsUCuTe3 at its PBEsol-relaxed geometry, with properties calculated at the SCAN level.

The structure in POSCAR format:
```
CsUCuTe3
1.0
4.241 0.000 0.000
-2.121 8.453 0.000
0.000 0.000 11.128
Cs Te U Cu
2 6 2 2
Cartesian
2.121 4.120 8.346
0.000 4.332 2.782
2.121 2.035 4.885
0.000 6.418 10.449
2.121 2.035 0.679
2.121 7.409 2.782
0.000 6.418 6.243
0.000 1.044 8.346
0.000 0.000 5.564
0.000 0.000 0.000
2.121 0.508 2.782
0.000 7.945 8.346
```

Values from the calculation:
D(E_F) in states/eV per atom: 0.20
Formation energy from raw total energies in meV/atom: -762
Uncorrected energy in eV/atom: -45.477

No. 19
Below is LaTc3 at its PBEsol-relaxed geometry, with properties calculated at the SCAN level.

The structure in POSCAR format:
```
LaTc3
1.0
-1.847 1.240 -1.762
-0.821 -1.336 -2.365
-8.238 -4.094 3.471
Tc La
3 1
Cartesian
-2.999 -1.198 0.016
-5.453 -2.095 -0.328
-7.908 -2.992 -0.671
0.000 0.000 0.000
```

Values from the calculation:
Formation energy from the elements in eV/f.u.: 2.2
D(E_F) in states/eV per atom: 1.19
Uncorrected energy in eV/atom: -36.528

No. 20
Below is Si2AgSb at its PBEsol-relaxed geometry, with properties calculated at the SCAN level.

The structure in POSCAR format:
```
Si2AgSb
1.0
-1.095 1.329 -3.253
-1.426 -2.264 -2.527
-6.862 0.740 0.531
Sb Si Ag
1 2 1
Cartesian
-2.283 -0.060 -1.338
-7.202 -0.118 -3.870
-6.572 0.689 0.412
-4.881 -0.065 -2.547
```

Values from the calculation:
D(E_F) in states/eV per atom: 0.37
Formation energy from raw total energies in meV/atom: 349
Uncorrected energy in eV/atom: -21.815